(a)
A relaxed Mg2AgCl crystal. Source: Alexandria, functional GGA-PBE.

abc: 3.4806 4.2168 6.3011
angles: 90.00 90.00 90.00
Fractional coordinates of all 4 atoms:
1 Mg 0.0000 0.0000 0.0000
2 Mg 0.5000 0.0000 0.5000
3 Ag 0.0000 0.5000 0.5000
4 Cl 0.5000 0.5000 0.0000

## Properties
* symmetry: No. 47
* density: 3.446 Mg/m³
* crystal system: orthorhombic

=====

(b)
A relaxed Mg2AgCl crystal. Source: Alexandria, functional GGA-PBE.

abc: 3.2081 3.2081 8.9761
angles: 90.00 90.00 90.00
Fractional coordinates of all 4 atoms:
1 Mg 0.0000 0.0000 0.0000
2 Mg 0.5000 0.5000 0.2657
3 Ag 0.0000 0.0000 0.4576
4 Cl 0.5000 0.5000 0.8435

## Properties
* symmetry: No. 99
* density: 3.450 Mg/m³
* crystal system: tetragonal

=====

(c)
A relaxed Mg2AgCl crystal. Source: Alexandria, functional GGA-PBE.

abc: 6.1814 6.1814 6.1814
angles: 109.46 109.46 109.49
Fractional coordinates of all 8 atoms:
1 Mg 0.1146 0.6250 0.9896
2 Mg 0.3750 0.3646 0.4896
3 Mg 0.6354 0.1250 0.0104
4 Mg 0.8750 0.8854 0.5104
5 Ag 0.2500 0.7500 0.5000
6 Ag 0.5000 0.5000 0.0000
7 Cl 0.0000 0.0000 0.0000
8 Cl 0.7500 0.2500 0.5000

## Properties
* symmetry: No. 122
* density: 3.506 Mg/m³
* crystal system: tetragonal

=====

The energy of each structure relative to the most stable one, in eV/atom, is as follows: (a) 0.185; (b) 0.000; (c) 0.056.

=====

(a)
A relaxed Mg2AgCl crystal. Source: Alexandria, functional GGA-PBE.

abc: 9.3250 9.3250 9.3250
angles: 21.04 21.04 21.04
Fractional coordinates of all 4 atoms:
1 Mg 0.0000 0.0000 0.0000
2 Mg 0.2413 0.2413 0.2413
3 Ag 0.7389 0.7389 0.7389
4 Cl 0.5179 0.5179 0.5179

## Properties
* symmetry: No. 160
* density: 3.481 Mg/m³
* crystal system: trigonal

=====

(b)
A relaxed Mg2AgCl crystal. Source: Alexandria, functional GGA-PBE.

abc: 5.0899 5.0899 5.0899
angles: 60.00 60.00 60.00
Fractional coordinates of all 4 atoms:
1 Mg 0.0000 0.0000 0.0000
2 Mg 0.2500 0.2500 0.2500
3 Ag 0.5000 0.5000 0.5000
4 Cl 0.7500 0.7500 0.7500

## Properties
* symmetry: No. 216
* density: 3.418 Mg/m³
* crystal system: cubic

=====

(c)
A relaxed Mg2AgCl crystal. Source: Alexandria, functional GGA-PBE.

abc: 5.2352 5.2352 5.2352
angles: 129.25 129.25 74.62
Fractional coordinates of all 4 atoms:
1 Mg 0.2500 0.7500 0.5000
2 Mg 0.7500 0.2500 0.5000
3 Ag 0.0000 0.0000 0.0000
4 Cl 0.5000 0.5000 0.0000

## Properties
* symmetry: No. 139
* density: 3.801 Mg/m³
* crystal system: tetragonal

=====

The energy of each structure relative to the most stable one, in eV/atom, is as follows: (a) 0.000; (b) 0.526; (c) 0.235.

=====

(a)
A relaxed Mg2AgCl crystal. Source: Alexandria, functional GGA-PBE.

abc: 3.4910 3.2149 7.5477
angles: 90.00 90.24 90.00
Fractional coordinates of all 4 atoms:
1 Mg 0.0038 0.0000 0.2189
2 Mg 0.9962 0.0000 0.7811
3 Ag 0.5000 0.5000 0.0000
4 Cl 0.0000 0.5000 0.5000

## Properties
* symmetry: No. 10
* density: 3.762 Mg/m³
* crystal system: monoclinic

=====

(b)
A relaxed Mg2AgCl crystal. Source: Alexandria, functional GGA-PBE.

abc: 5.5790 5.5790 5.5790
angles: 145.37 112.74 77.91
Fractional coordinates of all 4 atoms:
1 Mg 0.2358 0.2358 0.0000
2 Mg 0.7642 0.7642 0.0000
3 Ag 0.5000 0.0000 0.5000
4 Cl 0.0000 0.5000 0.5000

## Properties
* symmetry: No. 71
* density: 3.580 Mg/m³
* crystal system: orthorhombic

=====

The energy of each structure relative to the most stable one, in eV/atom, is as follows: (a) 0.000; (b) 0.230.

=====

(a)
A relaxed Mg2AgCl crystal. Source: Alexandria, functional GGA-PBE.

abc: 4.9775 4.9775 4.9775
angles: 60.00 60.00 60.00
Fractional coordinates of all 4 atoms:
1 Mg 0.2500 0.2500 0.2500
2 Mg 0.7500 0.7500 0.7500
3 Ag 0.0000 0.0000 0.0000
4 Cl 0.5000 0.5000 0.5000

## Properties
* symmetry: No. 225
* density: 3.655 Mg/m³
* crystal system: cubic

=====

(b)
A relaxed Mg2AgCl crystal. Source: Alexandria, functional GGA-PBE.

abc: 5.1570 5.1570 3.0774
angles: 90.00 90.00 90.00
Fractional coordinates of all 4 atoms:
1 Mg 0.0000 0.5000 0.0000
2 Mg 0.5000 0.0000 0.0000
3 Ag 0.0000 0.0000 0.5000
4 Cl 0.5000 0.5000 0.5000

## Properties
* symmetry: No. 123
* density: 3.894 Mg/m³
* crystal system: tetragonal

=====

The energy of each structure relative to the most stable one, in eV/atom, is as follows: (a) 0.231; (b) 0.000.

=====

(a)
A relaxed MgAgCl3 crystal. Source: Alexandria, functional GGA-PBE.

abc: 7.2364 3.7814 9.2952
angles: 90.00 96.93 90.00
Fractional coordinates of all 10 atoms:
1 Mg 0.0863 0.2500 0.1675
2 Mg 0.9137 0.7500 0.8325
3 Ag 0.3709 0.2500 0.6500
4 Ag 0.6291 0.7500 0.3500
5 Cl 0.0370 0.2500 0.6901
6 Cl 0.2027 0.7500 0.0158
7 Cl 0.3800 0.2500 0.3383
8 Cl 0.6200 0.7500 0.6617
9 Cl 0.7973 0.2500 0.9842
10 Cl 0.9630 0.7500 0.3099

## Properties
* symmetry: No. 11
* density: 3.137 Mg/m³
* crystal system: monoclinic

=====

(b)
A relaxed MgAgCl3 crystal. Source: Alexandria, functional GGA-PBE.

abc: 4.9123 4.9123 4.9123
angles: 90.00 90.00 90.00
Fractional coordinates of all 5 atoms:
1 Mg 0.0000 0.0000 0.0000
2 Ag 0.5000 0.5000 0.5000
3 Cl 0.0000 0.0000 0.5000
4 Cl 0.0000 0.5000 0.0000
5 Cl 0.5000 0.0000 0.0000

## Properties
* symmetry: No. 221
* density: 3.342 Mg/m³
* crystal system: cubic

=====

(c)
A relaxed MgAgCl3 crystal. Source: Alexandria, functional GGA-PBE.

abc: 5.0665 5.0665 5.0665
angles: 90.00 90.00 90.00
Fractional coordinates of all 5 atoms:
1 Mg 0.0000 0.0000 0.0000
2 Ag 0.5000 0.5000 0.5000
3 Cl 0.0000 0.5000 0.5000
4 Cl 0.5000 0.0000 0.5000
5 Cl 0.5000 0.5000 0.0000

## Properties
* symmetry: No. 221
* density: 3.046 Mg/m³
* crystal system: cubic

=====

The energy of each structure relative to the most stable one, in eV/atom, is as follows: (a) 0.000; (b) 0.220; (c) 0.818.

=====

(a)
A relaxed MgAgCl crystal. Source: Alexandria, functional GGA-PBE.

abc: 4.6826 4.6826 4.6826
angles: 60.00 60.00 60.00
Fractional coordinates of all 3 atoms:
1 Mg 0.0000 0.0000 0.0000
2 Ag 0.7500 0.7500 0.7500
3 Cl 0.2500 0.2500 0.2500

## Properties
* symmetry: No. 216
* density: 3.834 Mg/m³
* crystal system: cubic

=====

(b)
A relaxed MgAgCl crystal. Source: Alexandria, functional GGA-PBE.

abc: 7.0141 6.7886 3.2569
angles: 80.24 72.52 27.23
Fractional coordinates of all 3 atoms:
1 Mg 0.0000 0.0000 0.0000
2 Ag 0.6473 0.6473 0.3527
3 Cl 0.3798 0.3798 0.6202

## Properties
* symmetry: No. 42
* density: 4.219 Mg/m³
* crystal system: orthorhombic

=====

The energy of each structure relative to the most stable one, in eV/atom, is as follows: (a) 0.330; (b) 0.000.

=====

(a)
A relaxed MgAgP2Cl crystal. Source: Alexandria, functional GGA-PBE.

abc: 4.9548 4.9548 4.8514
angles: 90.00 90.00 90.00
Fractional coordinates of all 5 atoms:
1 Mg 0.0000 0.0000 0.0000
2 Ag 0.5000 0.5000 0.5000
3 P 0.0000 0.5000 0.0000
4 P 0.5000 0.0000 0.0000
5 Cl 0.0000 0.0000 0.5000

## Properties
* symmetry: No. 123
* density: 3.201 Mg/m³
* crystal system: tetragonal

=====

(b)
A relaxed MgAgP2Cl crystal. Source: Alexandria, functional GGA-PBE.

abc: 4.7410 4.7410 5.4660
angles: 90.00 90.00 90.00
Fractional coordinates of all 5 atoms:
1 Mg 0.0000 0.0000 0.0000
2 Ag 0.5000 0.5000 0.5000
3 P 0.0000 0.5000 0.5000
4 P 0.5000 0.0000 0.5000
5 Cl 0.5000 0.5000 0.0000

## Properties
* symmetry: No. 123
* density: 3.103 Mg/m³
* crystal system: tetragonal

=====

The energy of each structure relative to the most stable one, in eV/atom, is as follows: (a) 0.000; (b) 0.069.

=====

(a)
A relaxed MgAgPCl2 crystal. Source: Alexandria, functional GGA-PBE.

abc: 5.0250 5.0250 5.0079
angles: 90.00 90.00 90.00
Fractional coordinates of all 5 atoms:
1 Mg 0.0000 0.0000 0.0000
2 Ag 0.5000 0.5000 0.5000
3 P 0.5000 0.5000 0.0000
4 Cl 0.0000 0.5000 0.5000
5 Cl 0.5000 0.0000 0.5000

## Properties
* symmetry: No. 123
* density: 3.073 Mg/m³
* crystal system: tetragonal

=====

(b)
A relaxed MgAgPCl2 crystal. Source: Alexandria, functional GGA-PBE.

abc: 4.8234 4.8234 5.3179
angles: 90.00 90.00 90.00
Fractional coordinates of all 5 atoms:
1 Mg 0.0000 0.0000 0.0000
2 Ag 0.5000 0.5000 0.5000
3 P 0.0000 0.0000 0.5000
4 Cl 0.0000 0.5000 0.0000
5 Cl 0.5000 0.0000 0.0000

## Properties
* symmetry: No. 123
* density: 3.141 Mg/m³
* crystal system: tetragonal

=====

The energy of each structure relative to the most stable one, in eV/atom, is as follows: (a) 0.290; (b) 0.000.

=====

(a)
A relaxed MnAg3Cl crystal. Source: Alexandria, functional GGA-PBE.

abc: 5.0090 5.0090 5.0090
angles: 90.00 90.00 90.00
Fractional coordinates of all 5 atoms:
1 Mn 0.0000 0.0000 0.0000
2 Ag 0.0000 0.5000 0.5000
3 Ag 0.5000 0.0000 0.5000
4 Ag 0.5000 0.5000 0.0000
5 Cl 0.5000 0.5000 0.5000

## Properties
* symmetry: No. 221
* density: 5.470 Mg/m³
* crystal system: cubic

=====

(b)
A relaxed MnAg3Cl crystal. Source: Alexandria, functional GGA-PBE.

abc: 5.0570 5.0570 5.0570
angles: 90.00 90.00 90.00
Fractional coordinates of all 5 atoms:
1 Mn 0.0000 0.0000 0.0000
2 Ag 0.0000 0.0000 0.5000
3 Ag 0.0000 0.5000 0.0000
4 Ag 0.5000 0.0000 0.0000
5 Cl 0.5000 0.5000 0.5000

## Properties
* symmetry: No. 221
* density: 5.316 Mg/m³
* crystal system: cubic

=====

The energy of each structure relative to the most stable one, in eV/atom, is as follows: (a) 0.065; (b) 0.000.

=====

(a)
A relaxed MnAgCl3 crystal. Source: Alexandria, functional GGA-PBE.

abc: 6.6259 6.6259 7.1131
angles: 102.54 102.54 120.46
Fractional coordinates of all 10 atoms:
1 Mn 0.1696 0.8304 0.0000
2 Mn 0.8304 0.1696 0.0000
3 Ag 0.2768 0.2768 0.6075
4 Ag 0.7232 0.7232 0.3925
5 Cl 0.0233 0.3906 0.7774
6 Cl 0.2449 0.2449 0.2293
7 Cl 0.3906 0.0233 0.7774
8 Cl 0.6094 0.9767 0.2226
9 Cl 0.7551 0.7551 0.7707
10 Cl 0.9767 0.6094 0.2226

## Properties
* symmetry: No. 12
* density: 3.692 Mg/m³
* crystal system: monoclinic

=====

(b)
A relaxed MnAgCl3 crystal. Source: Alexandria, functional GGA-PBE.

abc: 8.9402 8.9402 6.8175
angles: 100.68 100.68 86.21
Fractional coordinates of all 20 atoms:
1 Mn 0.1085 0.2842 0.2864
2 Mn 0.2842 0.1085 0.7864
3 Mn 0.7158 0.8915 0.2136
4 Mn 0.8915 0.7158 0.7136
5 Ag 0.2338 0.7662 0.2500
6 Ag 0.4037 0.5963 0.7500
7 Ag 0.5963 0.4037 0.2500
8 Ag 0.7662 0.2338 0.7500
9 Cl 0.0615 0.2083 0.5900
10 Cl 0.1223 0.6329 0.8884
11 Cl 0.2083 0.0615 0.0900
12 Cl 0.2971 0.4667 0.3689
13 Cl 0.3671 0.8777 0.6116
14 Cl 0.4667 0.2971 0.8689
15 Cl 0.5333 0.7029 0.1311
16 Cl 0.6329 0.1223 0.3884
17 Cl 0.7029 0.5333 0.6311
18 Cl 0.7917 0.9385 0.9100
19 Cl 0.8777 0.3671 0.1116
20 Cl 0.9385 0.7917 0.4100

## Properties
* symmetry: No. 15
* density: 3.399 Mg/m³
* crystal system: monoclinic

=====

The energy of each structure relative to the most stable one, in eV/atom, is as follows: (a) 0.000; (b) 0.017.

=====

(a)
A relaxed MnAgCl3 crystal. Source: Alexandria, functional GGA-PBE.

abc: 5.0593 5.0593 5.0593
angles: 90.00 90.00 90.00
Fractional coordinates of all 5 atoms:
1 Mn 0.0000 0.0000 0.0000
2 Ag 0.5000 0.5000 0.5000
3 Cl 0.0000 0.5000 0.5000
4 Cl 0.5000 0.0000 0.5000
5 Cl 0.5000 0.5000 0.0000

## Properties
* symmetry: No. 221
* density: 3.451 Mg/m³
* crystal system: cubic

=====

(b)
A relaxed MnAgCl3 crystal. Source: Alexandria, functional GGA-PBE.

abc: 4.9471 4.9471 4.9471
angles: 90.00 90.00 90.00
Fractional coordinates of all 5 atoms:
1 Mn 0.0000 0.0000 0.0000
2 Ag 0.5000 0.5000 0.5000
3 Cl 0.0000 0.0000 0.5000
4 Cl 0.0000 0.5000 0.0000
5 Cl 0.5000 0.0000 0.0000

## Properties
* symmetry: No. 221
* density: 3.692 Mg/m³
* crystal system: cubic

=====

The energy of each structure relative to the most stable one, in eV/atom, is as follows: (a) 0.561; (b) 0.000.

=====

(a)
A relaxed MnAgCl crystal. Source: Alexandria, functional GGA-PBE.

abc: 4.4544 4.4544 3.2801
angles: 90.00 90.00 120.00
Fractional coordinates of all 3 atoms:
1 Mn 0.0000 0.0000 0.0000
2 Ag 0.6667 0.3333 0.5000
3 Cl 0.3333 0.6667 0.0000

## Properties
* symmetry: No. 187
* density: 5.841 Mg/m³
* crystal system: hexagonal

=====

(b)
A relaxed MnAgCl crystal. Source: Alexandria, functional GGA-PBE.

abc: 3.3355 3.3355 6.3704
angles: 90.00 90.00 120.00
Fractional coordinates of all 3 atoms:
1 Mn 0.0000 0.0000 0.0000
2 Ag 0.3333 0.6667 0.3040
3 Cl 0.6667 0.3333 0.7484

## Properties
* symmetry: No. 156
* density: 5.364 Mg/m³
* crystal system: trigonal

=====

The energy of each structure relative to the most stable one, in eV/atom, is as follows: (a) 0.361; (b) 0.000.